No. 1
Material: ScTlZnCd
Method: DFT, PBE-GGA
State: optimized geometry

a b c (Å): 4.948 4.948 4.948
angles (deg): 60.00 60.00 60.00
Sites, in units of the cell vectors:
Sc 0.000 0.000 0.000
Tl 0.750 0.750 0.750
Zn 0.250 0.250 0.250
Cd 0.500 0.500 0.500

Summary:
Symmetry ... No. 216
Calculated formation energy ... -0.083 eV/atom
Size of the total moment ... 0.00 μB/f.u.

=====

No. 2
Material: Th2CoNiPt
Method: DFT, PBE-GGA
State: optimized geometry

a b c (Å): 7.190 3.970 7.623
angles (deg): 90.00 110.89 90.00
Sites, in units of the cell vectors:
Th 0.050 0.250 0.207
Th 0.378 0.750 0.654
Th 0.622 0.250 0.346
Th 0.950 0.750 0.793
Co 0.074 0.250 0.583
Co 0.926 0.750 0.417
Ni 0.332 0.750 0.197
Ni 0.668 0.250 0.803
Pt 0.317 0.250 0.941
Pt 0.683 0.750 0.059

Summary:
Symmetry ... No. 11
Calculated formation energy ... -0.572 eV/atom
Size of the total moment ... 0.32 μB/f.u.